[1]
# V2H2Os

V2H2Os at its PBEsol-relaxed geometry (meta-GGA SCAN, the Alexandria database).

Computed properties:
**Volume**: 9.0 Å³ per atom
**Space group**: I4/mmm, No. 139
**Total energy**: -23.052 eV per atom

Cell: 2.784 2.784 11.576 Å, 90.00 90.00 90.00°
Element x y z (fractional)
V1 0.000 0.000 0.149
V2 0.000 0.000 0.851
V3 0.500 0.500 0.351
V4 0.500 0.500 0.649
H1 0.000 0.500 0.250
H2 0.000 0.500 0.750
H3 0.500 0.000 0.250
H4 0.500 0.000 0.750
Os1 0.000 0.000 0.500
Os2 0.500 0.500 0.000

***

[2]
# InP4Rh

InP4Rh at its PBEsol-relaxed geometry (meta-GGA SCAN, the Alexandria database).

Computed properties:
**Volume**: 15.5 Å³ per atom
**Energy relative to the elements**: 4.68 eV/f.u.
**Space group**: F-43m, No. 216
**Total energy**: -17.345 eV per atom

Cell: 5.081 5.081 5.081 Å, 60.00 60.00 60.00°
Element x y z (fractional)
In1 0.000 0.000 0.000
P1 0.375 0.375 0.375
P2 0.375 0.375 0.874
P3 0.375 0.874 0.375
P4 0.874 0.375 0.375
Rh1 0.750 0.750 0.750

***

[3]
# Mg30MnFeO32

Mg30MnFeO32 at its PBEsol-relaxed geometry (meta-GGA SCAN, the Alexandria database).

Computed properties:
**Volume**: 9.4 Å³ per atom
**Space group**: P4/mmm, No. 123
**Raw formation energy**: -2916 meV per atom
**Total energy**: -8.932 eV per atom

Cell: 8.431 8.431 8.428 Å, 90.00 90.00 90.00°
Element x y z (fractional)
Mg1 0.000 0.000 0.000
Mg2 0.000 0.000 0.500
Mg3 0.000 0.250 0.250
Mg4 0.000 0.250 0.750
Mg5 0.000 0.500 0.000
Mg6 0.000 0.500 0.500
Mg7 0.000 0.750 0.250
Mg8 0.000 0.750 0.750
Mg9 0.250 0.000 0.250
Mg10 0.250 0.000 0.750
Mg11 0.250 0.250 0.000
Mg12 0.250 0.750 0.000
Mg13 0.251 0.500 0.252
Mg14 0.251 0.500 0.748
Mg15 0.252 0.252 0.500
Mg16 0.252 0.748 0.500
Mg17 0.500 0.000 0.000
Mg18 0.500 0.000 0.500
Mg19 0.500 0.251 0.252
Mg20 0.500 0.251 0.748
Mg21 0.500 0.749 0.252
Mg22 0.500 0.749 0.748
Mg23 0.748 0.252 0.500
Mg24 0.748 0.748 0.500
Mg25 0.749 0.500 0.252
Mg26 0.749 0.500 0.748
Mg27 0.750 0.000 0.250
Mg28 0.750 0.000 0.750
Mg29 0.750 0.250 0.000
Mg30 0.750 0.750 0.000
Mn1 0.500 0.500 0.000
Fe1 0.500 0.500 0.500
O1 0.000 0.000 0.250
O2 0.000 0.000 0.750
O3 0.000 0.250 0.000
O4 0.000 0.251 0.500
O5 0.000 0.500 0.252
O6 0.000 0.500 0.748
O7 0.000 0.749 0.500
O8 0.000 0.750 0.000
O9 0.246 0.500 0.000
O10 0.250 0.000 0.000
O11 0.250 0.250 0.250
O12 0.250 0.250 0.750
O13 0.250 0.750 0.250
O14 0.250 0.750 0.750
O15 0.251 0.000 0.500
O16 0.253 0.500 0.500
O17 0.500 0.000 0.252
O18 0.500 0.000 0.748
O19 0.500 0.246 0.000
O20 0.500 0.253 0.500
O21 0.500 0.500 0.257
O22 0.500 0.500 0.743
O23 0.500 0.747 0.500
O24 0.500 0.754 0.000
O25 0.747 0.500 0.500
O26 0.749 0.000 0.500
O27 0.750 0.000 0.000
O28 0.750 0.250 0.250
O29 0.750 0.250 0.750
O30 0.750 0.750 0.250
O31 0.750 0.750 0.750
O32 0.754 0.500 0.000

***

[4]
# La2TcBr

La2TcBr at its PBEsol-relaxed geometry (meta-GGA SCAN, the Alexandria database).

Computed properties:
**Volume**: 24.3 Å³ per atom
**Space group**: Immm, No. 71
**Excess energy over the best structure of this formula in the dataset**: 46.4 kJ per mole of atoms
**Raw formation energy**: -284 meV per atom
**Total energy**: -35.466 eV per atom

Cell: 4.738 5.610 7.320 Å, 90.00 90.00 90.00°
Element x y z (fractional)
La1 0.000 0.000 0.233
La2 0.000 0.000 0.767
La3 0.500 0.500 0.267
La4 0.500 0.500 0.733
Tc1 0.000 0.500 0.500
Tc2 0.500 0.000 0.000
Br1 0.000 0.500 0.000
Br2 0.500 0.000 0.500

***

[5]
# Cs2MnSnTe4

Cs2MnSnTe4 at its PBEsol-relaxed geometry (meta-GGA SCAN, the Alexandria database).

Computed properties:
**Volume**: 39.3 Å³ per atom
**Space group**: Fddd, No. 70
**Raw formation energy**: -790 meV per atom
**Total energy**: -35.640 eV per atom

Cell: 14.723 13.082 8.210 Å, 84.18 62.13 33.70°
Element x y z (fractional)
Cs1 0.061 0.061 0.689
Cs2 0.311 0.311 0.939
Cs3 0.689 0.689 0.061
Cs4 0.939 0.939 0.311
Mn1 0.375 0.375 0.375
Mn2 0.625 0.625 0.625
Sn1 0.125 0.125 0.125
Sn2 0.875 0.875 0.875
Te1 0.033 0.344 0.418
Te2 0.295 0.582 0.656
Te3 0.344 0.033 0.705
Te4 0.418 0.705 0.033
Te5 0.582 0.295 0.967
Te6 0.656 0.967 0.295
Te7 0.705 0.418 0.344
Te8 0.967 0.656 0.582

***

[6]
# SrMgCo2

SrMgCo2 at its PBEsol-relaxed geometry (meta-GGA SCAN, the Alexandria database).

Computed properties:
**Volume**: 20.5 Å³ per atom
**Energy relative to the elements**: 2.37 eV/f.u.
**Space group**: Immm, No. 71
**Excess energy over the best structure of this formula in the dataset**: 26.1 kJ per mole of atoms
**Total energy**: -14.871 eV per atom

Cell: 4.750 5.329 6.476 Å, 90.00 90.00 90.00°
Element x y z (fractional)
Sr1 0.000 0.000 0.000
Sr2 0.500 0.500 0.500
Mg1 0.000 0.000 0.500
Mg2 0.500 0.500 0.000
Co1 0.000 0.500 0.171
Co2 0.000 0.500 0.829
Co3 0.500 0.000 0.329
Co4 0.500 0.000 0.671

***

[7]
# CaMgPt2

CaMgPt2 at its PBEsol-relaxed geometry (meta-GGA SCAN, the Alexandria database).

Computed properties:
**Volume**: 17.7 Å³ per atom
**Energy relative to the elements**: -3.76 eV/f.u.
**Space group**: Pmmm, No. 47
**Total energy**: -39.695 eV per atom

Cell: 3.027 3.452 6.787 Å, 90.00 90.00 90.00°
Element x y z (fractional)
Ca1 0.000 0.000 0.000
Mg1 0.000 0.000 0.500
Pt1 0.500 0.500 0.282
Pt2 0.500 0.500 0.718

***

[8]
# Co4SnSb12

Co4SnSb12 at its PBEsol-relaxed geometry (meta-GGA SCAN, the Alexandria database).

Computed properties:
**Volume**: 21.8 Å³ per atom
**Space group**: Im-3, No. 204
**Raw formation energy**: -81 meV per atom
**Total energy**: -32.567 eV per atom

Cell: 7.842 7.842 7.842 Å, 109.47 109.47 109.47°
Element x y z (fractional)
Co1 0.000 0.000 0.500
Co2 0.000 0.500 0.000
Co3 0.500 0.000 0.000
Co4 0.500 0.500 0.500
Sn1 0.000 0.000 0.000
Sb1 0.160 0.332 0.492
Sb2 0.160 0.668 0.829
Sb3 0.171 0.840 0.332
Sb4 0.332 0.171 0.840
Sb5 0.332 0.492 0.160
Sb6 0.492 0.160 0.332
Sb7 0.508 0.840 0.668
Sb8 0.668 0.508 0.840
Sb9 0.668 0.829 0.160
Sb10 0.829 0.160 0.668
Sb11 0.840 0.332 0.171
Sb12 0.840 0.668 0.508

***

> What is the formula in the eighth record?

Co4SnSb12

***

> total energy of number 8 (Co4SnSb12)?

-32.567 eV per atom

***

> Which value of volume does entry 6 give?

20.5 Å³ per atom